The following is a DFT calculation (PBE-GGA) of a geometry-optimized AcErMgCd structure.

The value obtained for the formation energy is -168 meV per atom. The calculation puts the total moment at 0.00 μB per cell. For the raw total energy, the calculation gives -11.85 eV for the cell shown. The density of states at the Fermi level comes out at 1.182 states/eV per atom. The calculation puts the offset from the most stable computed form at 0.0 meV per atom.

The structure belongs to space group P4mm (No. 99); the cell edges are 3.8724, 3.8724 and 8.0097 Å and the angles 90.00°, 90.00° and 90.00°. Symmetry generates all atoms from Ac at (0.0000, 0.0000, 0.0000), Er at (0.0000, 0.0000, 0.5063), Mg at (0.5000, 0.5000, 0.2848) and Cd at (0.5000, 0.5000, 0.7104).